1.
# Ce2Pm3HoAs6 (GGA-PBE, optimized geometry)
# Fermi-level density of states in states/eV per cell: 11.559
# E_form in meV/atom: -1497
data_Ce2Pm3HoAs6
_chemical_formula_sum 'Ce2 Pm3 Ho1 As6'
_cell_length_a 9.403
_cell_length_b 9.403
_cell_length_c 8.417
_cell_angle_alpha 102.97
_cell_angle_beta 102.97
_cell_angle_gamma 25.87
_symmetry_space_group_name_H-M 'P 1'
_symmetry_Int_Tables_number 1
_symmetry_space_group_name_Hall 'P 1'
loop_
_atom_site_label
_atom_site_type_symbol
_atom_site_fract_x
_atom_site_fract_y
_atom_site_fract_z
_atom_site_occupancy
Ce1 Ce 0.166 0.166 0.331 1
Ce2 Ce 0.834 0.834 0.669 1
Pm1 Pm 0.166 0.166 0.835 1
Pm2 Pm 0.500 0.500 0.500 1
Pm3 Pm 0.834 0.834 0.165 1
Ho1 Ho 0.500 0.500 0.000 1
As1 As 0.001 0.001 0.245 1
As2 As 0.332 0.332 0.419 1
As3 As 0.336 0.336 0.915 1
As4 As 0.664 0.664 0.085 1
As5 As 0.668 0.668 0.581 1
As6 As 0.999 0.999 0.755 1


2.
# TlSnAsBr6 (GGA-PBE, optimized geometry)
# Fermi-level density of states in states/eV per cell: 0.000
# Energy relative to the elements, uncorrected in eV/f.u.: -5.60
data_TlSnAsBr6
_chemical_formula_sum 'Tl1 Sn1 As1 Br6'
_cell_length_a 7.378
_cell_length_b 7.378
_cell_length_c 7.201
_cell_angle_alpha 90.00
_cell_angle_beta 90.00
_cell_angle_gamma 120.00
_symmetry_space_group_name_H-M 'P 1'
_symmetry_Int_Tables_number 1
_symmetry_space_group_name_Hall 'P 1'
loop_
_atom_site_label
_atom_site_type_symbol
_atom_site_fract_x
_atom_site_fract_y
_atom_site_fract_z
_atom_site_occupancy
Tl1 Tl 0.000 0.000 0.000 1
Sn1 Sn 0.333 0.667 0.500 1
As1 As 0.667 0.333 0.500 1
Br1 Br 0.381 0.033 0.722 1
Br2 Br 0.381 0.348 0.278 1
Br3 Br 0.652 0.033 0.278 1
Br4 Br 0.652 0.619 0.722 1
Br5 Br 0.967 0.348 0.722 1
Br6 Br 0.967 0.619 0.278 1


3.
# CeErThAl (GGA-PBE, optimized geometry)
# Fermi-level density of states in states/eV per cell: 6.491
# E_form in meV/atom: 17
data_CeErThAl
_chemical_formula_sum 'Ce1 Er1 Th1 Al1'
_cell_length_a 5.328
_cell_length_b 5.328
_cell_length_c 5.328
_cell_angle_alpha 60.00
_cell_angle_beta 60.00
_cell_angle_gamma 60.00
_symmetry_space_group_name_H-M 'P 1'
_symmetry_Int_Tables_number 1
_symmetry_space_group_name_Hall 'P 1'
loop_
_atom_site_label
_atom_site_type_symbol
_atom_site_fract_x
_atom_site_fract_y
_atom_site_fract_z
_atom_site_occupancy
Ce1 Ce 0.000 0.000 0.000 1
Er1 Er 0.250 0.250 0.250 1
Th1 Th 0.750 0.750 0.750 1
Al1 Al 0.500 0.500 0.500 1


- Which formula does entry 2 have?
  TlSnAsBr6


Please write out number 2 again, unchanged.
# TlSnAsBr6 (GGA-PBE, optimized geometry)
# Fermi-level density of states in states/eV per cell: 0.000
# Energy relative to the elements, uncorrected in eV/f.u.: -5.60
data_TlSnAsBr6
_chemical_formula_sum 'Tl1 Sn1 As1 Br6'
_cell_length_a 7.378
_cell_length_b 7.378
_cell_length_c 7.201
_cell_angle_alpha 90.00
_cell_angle_beta 90.00
_cell_angle_gamma 120.00
_symmetry_space_group_name_H-M 'P 1'
_symmetry_Int_Tables_number 1
_symmetry_space_group_name_Hall 'P 1'
loop_
_atom_site_label
_atom_site_type_symbol
_atom_site_fract_x
_atom_site_fract_y
_atom_site_fract_z
_atom_site_occupancy
Tl1 Tl 0.000 0.000 0.000 1
Sn1 Sn 0.333 0.667 0.500 1
As1 As 0.667 0.333 0.500 1
Br1 Br 0.381 0.033 0.722 1
Br2 Br 0.381 0.348 0.278 1
Br3 Br 0.652 0.033 0.278 1
Br4 Br 0.652 0.619 0.722 1
Br5 Br 0.967 0.348 0.722 1
Br6 Br 0.967 0.619 0.278 1


What did the first record say?
# Ce2Pm3HoAs6 (GGA-PBE, optimized geometry)
# Fermi-level density of states in states/eV per cell: 11.559
# E_form in meV/atom: -1497
data_Ce2Pm3HoAs6
_chemical_formula_sum 'Ce2 Pm3 Ho1 As6'
_cell_length_a 9.403
_cell_length_b 9.403
_cell_length_c 8.417
_cell_angle_alpha 102.97
_cell_angle_beta 102.97
_cell_angle_gamma 25.87
_symmetry_space_group_name_H-M 'P 1'
_symmetry_Int_Tables_number 1
_symmetry_space_group_name_Hall 'P 1'
loop_
_atom_site_label
_atom_site_type_symbol
_atom_site_fract_x
_atom_site_fract_y
_atom_site_fract_z
_atom_site_occupancy
Ce1 Ce 0.166 0.166 0.331 1
Ce2 Ce 0.834 0.834 0.669 1
Pm1 Pm 0.166 0.166 0.835 1
Pm2 Pm 0.500 0.500 0.500 1
Pm3 Pm 0.834 0.834 0.165 1
Ho1 Ho 0.500 0.500 0.000 1
As1 As 0.001 0.001 0.245 1
As2 As 0.332 0.332 0.419 1
As3 As 0.336 0.336 0.915 1
As4 As 0.664 0.664 0.085 1
As5 As 0.668 0.668 0.581 1
As6 As 0.999 0.999 0.755 1